1.
# MnMoOs2 (PBE, optimized geometry)
# Formation energy from the elements in eV per formula unit: 0.5
# Magnetic moment in μB per formula unit: 0.94
# Crystal system: tetragonal
data_MnMoOs2
_cell_length_a 2.7106
_cell_length_b 2.7106
_cell_length_c 7.6400
_cell_angle_alpha 90.00
_cell_angle_beta 90.00
_cell_angle_gamma 90.00
_space_group_name_H-M_alt 'P 4 m m'
_space_group_IT_number 99
loop_
_space_group_symop_operation_xyz
'x,y,z'
'-y,x,z'
'-x,-y,z'
'y,-x,z'
'-x,y,z'
'y,x,z'
'x,-y,z'
'-y,-x,z'
loop_
_atom_site_label
_atom_site_fract_x
_atom_site_fract_y
_atom_site_fract_z
Mn1 0.0000 0.0000 0.0000
Mo1 0.5000 0.5000 0.2499
Os1 0.0000 0.0000 0.5187
Os2 0.5000 0.5000 0.7711

2.
# MnMoOs (PBE, optimized geometry)
# Formation energy from the elements in eV per formula unit: 1.7
# Magnetic moment in μB per formula unit: 0.00
# Crystal system: cubic
data_MnMoOs
_cell_length_a 5.7134
_cell_length_b 5.7134
_cell_length_c 5.7134
_cell_angle_alpha 90.00
_cell_angle_beta 90.00
_cell_angle_gamma 90.00
_space_group_name_H-M_alt 'F -4 3 m'
_space_group_IT_number 216
_space_group_name_Hall 'F -4 2 3'
loop_
_atom_site_label
_atom_site_fract_x
_atom_site_fract_y
_atom_site_fract_z
Mn1 0.0000 0.0000 0.0000
Mo1 0.2500 0.2500 0.7500
Os1 0.2500 0.2500 0.2500

3.
# MnMoOs (PBE, optimized geometry)
# Formation energy from the elements in eV per formula unit: 0.4
# Magnetic moment in μB per formula unit: 2.89
# Crystal system: trigonal
data_MnMoOs
_cell_length_a 4.3218
_cell_length_b 4.3218
_cell_length_c 2.6710
_cell_angle_alpha 90.00
_cell_angle_beta 90.00
_cell_angle_gamma 120.00
_space_group_name_H-M_alt 'P 3 m 1'
_space_group_IT_number 156
loop_
_space_group_symop_operation_xyz
'x,y,z'
'-y,x-y,z'
'-x+y,-x,z'
'-y,-x,z'
'-x+y,y,z'
'x,x-y,z'
loop_
_atom_site_label
_atom_site_fract_x
_atom_site_fract_y
_atom_site_fract_z
Mn1 0.0000 0.0000 0.0000
Mo1 0.3333 0.6667 0.3168
Os1 0.6667 0.3333 0.6466

no.,excess energy over the best structure of this formula in the dataset (meV per atom),total DFT energy (no corrections) (eV per atom)
1,89.2,-10.481
2,483.4,-9.853
3,65.7,-10.271